(1)
Ti3ZnO | PBE-GGA | optimized geometry Values from VASP.

Geometry as Quantum ESPRESSO input:
```
&SYSTEM
  ibrav = 0, nat = 10, ntyp = 3
/
ATOMIC_SPECIES
Ti 47.87 Ti.upf
O 16.00 O.upf
Zn 65.41 Zn.upf
CELL_PARAMETERS angstrom
4.304 0.000 0.000
0.000 5.664 0.000
0.000 0.000 5.664
ATOMIC_POSITIONS crystal
Ti 0.000 0.795 0.795
Ti 0.000 0.705 0.295
Ti 0.000 0.295 0.705
Ti 0.500 0.000 0.500
O 0.000 0.000 0.500
Zn 0.500 0.500 0.500
Zn 0.500 0.000 0.000
O 0.000 0.500 0.000
Ti 0.000 0.205 0.205
Ti 0.500 0.500 0.000
```

Summary:
For the final energy, the calculation gives -71.40 eV per cell. As for the uncorrected formation energy: -1.16 eV per atom. The density of states at the Fermi level is 3.5 states/eV/f.u. Its space group is No. 127.

(2)
K4AlAu | PBE-GGA | optimized geometry Values from VASP.

Geometry as Quantum ESPRESSO input:
```
&SYSTEM
  ibrav = 0, nat = 6, ntyp = 3
/
ATOMIC_SPECIES
K 39.10 K.upf
Au 196.97 Au.upf
Al 26.98 Al.upf
CELL_PARAMETERS angstrom
0.000 4.997 4.997
4.997 0.000 4.997
4.997 4.997 0.000
ATOMIC_POSITIONS crystal
K 0.374 0.374 0.877
K 0.374 0.877 0.374
K 0.374 0.374 0.374
K 0.877 0.374 0.374
Au 0.000 0.000 0.000
Al 0.750 0.750 0.750
```

Summary:
For the final energy, the calculation gives -8.53 eV per cell. The energy relative to the elements is 0.48 eV/atom. The density of states at the Fermi level is 4.5 states/eV/f.u. Its space group is No. 216.